[1]
# AgBSe2 (GGA-PBE, optimized geometry)
data_AgBSe2
_cell_length_a 7.3331
_cell_length_b 7.3331
_cell_length_c 5.5174
_cell_angle_alpha 90.00
_cell_angle_beta 90.00
_cell_angle_gamma 90.00
_symmetry_space_group_name_H-M 'I 4/m c m'
_symmetry_Int_Tables_number 140
_symmetry_space_group_name_Hall '-I 4 2c'
loop_
_atom_site_label
_atom_site_type_symbol
_atom_site_fract_x
_atom_site_fract_y
_atom_site_fract_z
Ag1 Ag 0.0000 0.5000 0.2500
B1 B 0.0000 0.0000 0.2500
Se1 Se 0.2386 0.2614 0.0000
# DOS(E_F) (states/eV/atom): 0.526
# E_tot (eV/atom): -3.06
# V (Å³/atom): 18.5
# E_form (uncorrected) (eV per atom): 1.0640

[2]
# AgBSe2 (GGA-PBE, optimized geometry)
data_AgBSe2
_cell_length_a 8.6481
_cell_length_b 4.9221
_cell_length_c 11.7852
_cell_angle_alpha 90.00
_cell_angle_beta 130.49
_cell_angle_gamma 90.00
_symmetry_space_group_name_H-M 'P 1 21/c 1'
_symmetry_Int_Tables_number 14
loop_
_symmetry_equiv_pos_as_xyz
'x,y,z'
'-x,-y,-z'
'-x,y+1/2,-z+1/2'
'x,-y+1/2,z+1/2'
loop_
_atom_site_label
_atom_site_type_symbol
_atom_site_fract_x
_atom_site_fract_y
_atom_site_fract_z
Ag1 Ag 0.0521 0.2030 0.3239
B1 B 0.1798 0.7206 0.9253
Se1 Se 0.1839 0.5387 0.5623
Se2 Se 0.4791 0.7291 0.0311
# DOS(E_F) (states/eV/atom): 0.000
# E_tot (eV/atom): -3.87
# V (Å³/atom): 23.8
# E_form (uncorrected) (eV per atom): 0.2589

[3]
# AgBSe2 (GGA-PBE, optimized geometry)
data_AgBSe2
_cell_length_a 8.0724
_cell_length_b 4.4391
_cell_length_c 14.0547
_cell_angle_alpha 90.00
_cell_angle_beta 107.57
_cell_angle_gamma 90.00
_symmetry_space_group_name_H-M 'P 1 21/c 1'
_symmetry_Int_Tables_number 14
loop_
_symmetry_equiv_pos_as_xyz
'x,y,z'
'-x,-y,-z'
'-x,y+1/2,-z+1/2'
'x,-y+1/2,z+1/2'
loop_
_atom_site_label
_atom_site_type_symbol
_atom_site_fract_x
_atom_site_fract_y
_atom_site_fract_z
Ag1 Ag 0.0437 0.0054 0.3588
B1 B 0.2485 0.0007 0.7526
Se1 Se 0.2426 0.5040 0.3840
Se2 Se 0.2836 0.0063 0.6312
# DOS(E_F) (states/eV/atom): 0.000
# E_tot (eV/atom): -4.05
# V (Å³/atom): 30.0
# E_form (uncorrected) (eV per atom): 0.0733

[4]
# AgBSe2 (GGA-PBE, optimized geometry)
data_AgBSe2
_cell_length_a 6.2665
_cell_length_b 8.0470
_cell_length_c 6.2762
_cell_angle_alpha 90.00
_cell_angle_beta 90.00
_cell_angle_gamma 90.00
_symmetry_space_group_name_H-M 'P n a 21'
_symmetry_Int_Tables_number 33
loop_
_symmetry_equiv_pos_as_xyz
'x,y,z'
'-x,-y,z+1/2'
'-x+1/2,y+1/2,z+1/2'
'x+1/2,-y+1/2,z'
loop_
_atom_site_label
_atom_site_type_symbol
_atom_site_fract_x
_atom_site_fract_y
_atom_site_fract_z
Ag1 Ag 0.0829 0.1221 0.0000
B1 B 0.0527 0.6253 0.0086
Se1 Se 0.0325 0.5897 0.6707
Se2 Se 0.1199 0.1613 0.5876
# DOS(E_F) (states/eV/atom): 0.000
# E_tot (eV/atom): -4.17
# V (Å³/atom): 19.8
# E_form (uncorrected) (eV per atom): -0.0461

[5]
# Ag2BSe (GGA-PBE, optimized geometry)
data_Ag2BSe
_cell_length_a 4.6939
_cell_length_b 4.6939
_cell_length_c 14.1108
_cell_angle_alpha 90.00
_cell_angle_beta 90.00
_cell_angle_gamma 90.00
_symmetry_space_group_name_H-M 'I -4 2 d'
_symmetry_Int_Tables_number 122
_symmetry_space_group_name_Hall 'I -4 2bw'
loop_
_atom_site_label
_atom_site_type_symbol
_atom_site_fract_x
_atom_site_fract_y
_atom_site_fract_z
Ag1 Ag 0.1670 0.2500 0.1250
B1 B 0.0000 0.0000 0.0000
Se1 Se 0.0000 0.0000 0.5000
# DOS(E_F) (states/eV/atom): 0.624
# E_tot (eV/atom): -3.24
# Excess energy over the best structure of this formula in the dataset (eV per formula unit): 0.000
# V (Å³/atom): 19.4
# E_form (uncorrected) (eV per atom): 0.7296

[6]
# AgBSe2 (GGA-PBE, optimized geometry)
data_AgBSe2
_cell_length_a 6.2099
_cell_length_b 4.4069
_cell_length_c 7.2587
_cell_angle_alpha 90.00
_cell_angle_beta 93.27
_cell_angle_gamma 90.00
_symmetry_space_group_name_H-M 'P 1 21 1'
_symmetry_Int_Tables_number 4
loop_
_symmetry_equiv_pos_as_xyz
'x,y,z'
'-x,y+1/2,-z'
loop_
_atom_site_label
_atom_site_type_symbol
_atom_site_fract_x
_atom_site_fract_y
_atom_site_fract_z
Ag1 Ag 0.0560 0.0000 0.1383
B1 B 0.0828 0.8519 0.6374
Se1 Se 0.1797 0.6232 0.4092
Se2 Se 0.2813 0.8584 0.8527
# DOS(E_F) (states/eV/atom): 0.000
# E_tot (eV/atom): -4.17
# V (Å³/atom): 24.8
# E_form (uncorrected) (eV per atom): -0.0412

[7]
# AgBSe2 (GGA-PBE, optimized geometry)
data_AgBSe2
_cell_length_a 7.6626
_cell_length_b 3.1158
_cell_length_c 6.9165
_cell_angle_alpha 90.00
_cell_angle_beta 113.38
_cell_angle_gamma 90.00
_symmetry_space_group_name_H-M 'C 1 2/m 1'
_symmetry_Int_Tables_number 12
loop_
_symmetry_equiv_pos_as_xyz
'x,y,z'
'-x,-y,-z'
'-x,y,-z'
'x,-y,z'
'x+1/2,y+1/2,z'
'-x+1/2,-y+1/2,-z'
'-x+1/2,y+1/2,-z'
'x+1/2,-y+1/2,z'
loop_
_atom_site_label
_atom_site_type_symbol
_atom_site_fract_x
_atom_site_fract_y
_atom_site_fract_z
Ag1 Ag 0.0000 0.0000 0.0000
B1 B 0.0000 0.5000 0.5000
Se1 Se 0.1610 0.0000 0.7125
# DOS(E_F) (states/eV/atom): 0.285
# E_tot (eV/atom): -3.72
# V (Å³/atom): 18.9
# E_form (uncorrected) (eV per atom): 0.4037

[8]
# AgBSe2 (GGA-PBE, optimized geometry)
data_AgBSe2
_cell_length_a 5.7750
_cell_length_b 5.7911
_cell_length_c 6.3915
_cell_angle_alpha 94.51
_cell_angle_beta 94.56
_cell_angle_gamma 106.27
_symmetry_space_group_name_H-M 'P 1'
_symmetry_Int_Tables_number 1
loop_
_symmetry_equiv_pos_as_xyz
'x,y,z'
loop_
_atom_site_label
_atom_site_type_symbol
_atom_site_fract_x
_atom_site_fract_y
_atom_site_fract_z
Ag1 Ag 0.0000 0.0000 0.0000
Ag2 Ag 0.4961 0.4938 0.9966
B1 B 0.3869 0.8866 0.6327
B2 B 0.6120 0.1116 0.3678
Se1 Se 0.2007 0.7013 0.8317
Se2 Se 0.3314 0.1695 0.5019
Se3 Se 0.6679 0.8293 0.4991
Se4 Se 0.7968 0.2965 0.1678
# DOS(E_F) (states/eV/atom): 0.000
# E_tot (eV/atom): -4.16
# V (Å³/atom): 25.4
# E_form (uncorrected) (eV per atom): -0.0312

[9]
# AgB3Se (GGA-PBE, optimized geometry)
data_AgB3Se
_cell_length_a 4.2641
_cell_length_b 4.2641
_cell_length_c 4.2641
_cell_angle_alpha 90.00
_cell_angle_beta 90.00
_cell_angle_gamma 90.00
_symmetry_space_group_name_H-M 'P m -3 m'
_symmetry_Int_Tables_number 221
_symmetry_space_group_name_Hall '-P 4 2 3'
loop_
_atom_site_label
_atom_site_type_symbol
_atom_site_fract_x
_atom_site_fract_y
_atom_site_fract_z
Ag1 Ag 0.0000 0.0000 0.0000
B1 B 0.0000 0.0000 0.5000
Se1 Se 0.5000 0.5000 0.5000
# DOS(E_F) (states/eV/atom): 0.090
# E_tot (eV/atom): -3.33
# Excess energy over the best structure of this formula in the dataset (eV per formula unit): 0.000
# V (Å³/atom): 15.5
# E_form (uncorrected) (eV per atom): 1.9395

[10]
# Ag3BSe4 (GGA-PBE, optimized geometry)
data_Ag3BSe4
_cell_length_a 7.8031
_cell_length_b 6.8686
_cell_length_c 6.8886
_cell_angle_alpha 90.00
_cell_angle_beta 90.00
_cell_angle_gamma 90.00
_symmetry_space_group_name_H-M 'P m n 21'
_symmetry_Int_Tables_number 31
loop_
_symmetry_equiv_pos_as_xyz
'x,y,z'
'-x+1/2,-y,z+1/2'
'-x,y,z'
'x+1/2,-y,z+1/2'
loop_
_atom_site_label
_atom_site_type_symbol
_atom_site_fract_x
_atom_site_fract_y
_atom_site_fract_z
Ag1 Ag 0.0000 0.1198 0.0000
Ag2 Ag 0.2468 0.6795 0.0096
B1 B 0.0000 0.8212 0.4833
Se1 Se 0.0000 0.1035 0.3814
Se2 Se 0.0000 0.8066 0.7833
Se3 Se 0.2211 0.6852 0.3882
# DOS(E_F) (states/eV/atom): 0.772
# E_tot (eV/atom): -3.67
# V (Å³/atom): 23.1
# E_form (uncorrected) (eV per atom): -0.0258

[11]
# AgBSe2 (GGA-PBE, optimized geometry)
data_AgBSe2
_cell_length_a 6.6716
_cell_length_b 3.5242
_cell_length_c 14.5935
_cell_angle_alpha 90.00
_cell_angle_beta 90.00
_cell_angle_gamma 90.00
_symmetry_space_group_name_H-M 'P n m a'
_symmetry_Int_Tables_number 62
loop_
_symmetry_equiv_pos_as_xyz
'x,y,z'
'-x,-y,-z'
'-x+1/2,-y,z+1/2'
'x+1/2,y,-z+1/2'
'x+1/2,-y+1/2,-z+1/2'
'-x+1/2,y+1/2,z+1/2'
'-x,y+1/2,-z'
'x,-y+1/2,z'
loop_
_atom_site_label
_atom_site_type_symbol
_atom_site_fract_x
_atom_site_fract_y
_atom_site_fract_z
Ag1 Ag 0.0444 0.2500 0.1894
B1 B 0.0397 0.7500 0.4227
Se1 Se 0.1459 0.7500 0.5610
Se2 Se 0.2237 0.7500 0.3159
# DOS(E_F) (states/eV/atom): 0.183
# E_tot (eV/atom): -4.09
# V (Å³/atom): 21.4
# E_form (uncorrected) (eV per atom): 0.0344

[12]
# AgB2Se (GGA-PBE, optimized geometry)
data_AgB2Se
_cell_length_a 5.1997
_cell_length_b 5.1997
_cell_length_c 8.9015
_cell_angle_alpha 90.00
_cell_angle_beta 90.00
_cell_angle_gamma 90.00
_symmetry_space_group_name_H-M 'I -4 2 d'
_symmetry_Int_Tables_number 122
_symmetry_space_group_name_Hall 'I -4 2bw'
loop_
_atom_site_label
_atom_site_type_symbol
_atom_site_fract_x
_atom_site_fract_y
_atom_site_fract_z
Ag1 Ag 0.0000 0.0000 0.0000
B1 B 0.2295 0.2500 0.6250
Se1 Se 0.0000 0.0000 0.5000
# DOS(E_F) (states/eV/atom): 0.544
# E_tot (eV/atom): -3.98
# V (Å³/atom): 15.0
# E_form (uncorrected) (eV per atom): 0.9379

> Among the records above, which one has the highest E_tot?

number 1

> Look up the E_tot of the third one.

-4.05 eV/atom